Entry 1:
Computed, not measured: crystalline Sr2RhCl at its relaxed geometry at the PBE level of DFT.

```
Sr2RhCl
1.0
-1.583 2.104 3.302
-4.182 0.373 0.458
-2.056 -5.715 5.357
Sr Rh Cl
2 1 1
Direct
0.073 0.073 0.781 Sr
0.262 0.262 0.215 Sr
0.667 0.667 0.999 Rh
0.499 0.499 0.504 Cl
```

Theoretical density = 4364 kg/m³
E_tot = -4.0909 eV/atom
E above lowest polymorph = 0.032 eV/atom
Size of the total moment = 0.00 μB/cell

=====

Entry 2:
Computed, not measured: crystalline Rb2BiAs2 at its relaxed geometry at the PBE level of DFT.

```
Rb2BiAs2
1.0
-1.146 -1.114 4.770
-3.811 -2.875 -1.588
1.700 -7.390 1.335
As Bi Rb
2 1 2
Direct
0.415 0.415 0.169 As
0.585 0.585 0.831 As
0.000 0.000 0.000 Bi
0.750 0.250 0.500 Rb
0.250 0.750 0.500 Rb
```

Theoretical density = 5089 kg/m³
E_tot = -2.8573 eV/atom
E above lowest polymorph = 0.473 eV/atom
Size of the total moment = 0.00 μB/cell
Calculated formation energy = 166 meV per atom

=====

Entry 3:
Computed, not measured: crystalline Np2MnSeS4 at its relaxed geometry at the PBE level of DFT.

```
Np2MnSeS4
1.0
3.754 0.000 0.000
1.877 5.770 0.248
1.877 1.385 8.013
Np Mn Se S
2 1 1 4
Direct
0.827 0.598 0.747 Np
0.173 0.402 0.253 Np
0.000 0.000 0.000 Mn
0.500 0.500 0.500 Se
0.170 0.940 0.720 S
0.385 0.297 0.933 S
0.830 0.060 0.280 S
0.615 0.703 0.067 S
```

Theoretical density = 7096 kg/m³
E_tot = -7.9194 eV/atom
Size of the total moment = 10.60 μB/cell

=====

Entry 4:
Computed, not measured: crystalline MgGeBi2W at its relaxed geometry at the PBE level of DFT.

```
MgGeBi2W
1.0
-0.878 5.413 0.011
-4.431 -0.722 1.952
2.160 0.340 5.029
Mg Ge Bi W
1 1 2 1
Direct
0.500 0.500 0.500 Mg
0.000 0.500 0.000 Ge
0.000 0.000 0.500 Bi
0.500 0.000 0.000 Bi
0.000 0.000 0.000 W
```

Theoretical density = 7882 kg/m³
E_tot = -4.7624 eV/atom
Size of the total moment = 0.00 μB/cell
Calculated formation energy = 623 meV per atom

=====

Entry 5:
Computed, not measured: crystalline Lu2SeO2 at its relaxed geometry at the PBE level of DFT.

```
Lu2SeO2
1.0
-0.184 3.687 -0.644
-3.174 1.867 0.692
2.068 1.196 6.259
Lu O Se
2 2 1
Direct
0.333 0.333 0.293 Lu
0.667 0.667 0.707 Lu
0.333 0.333 0.626 O
0.667 0.667 0.374 O
0.000 0.000 0.000 Se
```

Theoretical density = 9394 kg/m³
E_tot = -7.6371 eV/atom
Size of the total moment = 0.00 μB/cell

=====

Entry 6:
Computed, not measured: crystalline Sr3YN3 at its relaxed geometry at the PBE level of DFT.

```
Sr3YN3
1.0
4.125 -7.145 0.000
4.125 7.145 0.000
0.000 0.000 5.414
Sr Y N
6 2 6
Direct
0.924 0.673 0.250 Sr
0.750 0.076 0.250 Sr
0.327 0.250 0.250 Sr
0.076 0.327 0.750 Sr
0.250 0.924 0.750 Sr
0.673 0.750 0.750 Sr
0.667 0.333 0.750 Y
0.333 0.667 0.250 Y
0.903 0.630 0.750 N
0.726 0.097 0.750 N
0.370 0.274 0.750 N
0.097 0.370 0.250 N
0.274 0.903 0.250 N
0.630 0.726 0.250 N
```

Theoretical density = 4099 kg/m³
E_tot = -5.7990 eV/atom
Size of the total moment = 0.00 μB/cell

=====

Entry 7:
Computed, not measured: crystalline CaScAl at its relaxed geometry at the PBE level of DFT.

```
CaScAl
1.0
3.150 -0.002 0.000
3.153 5.878 0.000
-0.002 0.000 8.041
Sc Ca Al
2 2 2
Direct
0.199 0.500 0.973 Sc
0.698 0.000 0.973 Sc
0.449 0.250 0.594 Ca
0.948 0.750 0.351 Ca
0.449 0.750 0.709 Al
0.949 0.250 0.237 Al
```

Theoretical density = 2498 kg/m³
E_tot = -4.1358 eV/atom
E above lowest polymorph = 0.072 eV/atom
Size of the total moment = 0.78 μB/cell
Calculated formation energy = -111 meV per atom

=====

Entry 8:
Computed, not measured: crystalline Zn2NiGe at its relaxed geometry at the PBE level of DFT.

```
Zn2NiGe
1.0
-1.474 2.708 -2.298
-1.947 -2.666 -1.893
-2.926 0.438 2.393
Ni Ge Zn
1 1 2
Direct
0.500 0.000 0.000 Ni
0.500 0.500 0.500 Ge
0.000 0.000 0.500 Zn
0.000 0.500 0.000 Zn
```

Theoretical density = 7817 kg/m³
E_tot = -3.2526 eV/atom
Size of the total moment = 0.00 μB/cell
Calculated formation energy = -16 meV per atom

=====

Entry 9:
Computed, not measured: crystalline CsTcO4 at its relaxed geometry at the PBE level of DFT.

```
CsTcO4
1.0
5.411 0.000 0.001
0.000 5.421 -0.220
-2.705 -2.522 6.939
Cs Tc O
2 2 8
Direct
0.769 0.750 0.000 Cs
0.231 0.250 0.000 Cs
0.500 0.000 0.500 Tc
0.000 0.500 0.500 Tc
0.565 0.128 0.760 O
0.805 0.373 0.240 O
0.435 0.872 0.240 O
0.195 0.627 0.760 O
0.795 0.790 0.543 O
0.252 0.710 0.457 O
0.205 0.210 0.457 O
0.748 0.290 0.543 O
```

Theoretical density = 4884 kg/m³
E_tot = -6.5037 eV/atom
Size of the total moment = 0.00 μB/cell

=====

Entry 10:
Computed, not measured: crystalline LiPr2FeH6 at its relaxed geometry at the PBE level of DFT.

```
LiPr2FeH6
1.0
4.796 0.000 0.000
0.000 5.018 0.000
0.000 -2.509 4.346
Li Pr Fe H
1 2 1 6
Direct
0.500 0.000 0.000 Li
0.237 0.333 0.667 Pr
0.763 0.667 0.333 Pr
0.000 0.000 0.000 Fe
0.787 0.157 0.314 H
0.787 0.157 0.843 H
0.787 0.686 0.843 H
0.213 0.843 0.157 H
0.213 0.314 0.157 H
0.213 0.843 0.686 H
```

Theoretical density = 5567 kg/m³
E_tot = -4.3652 eV/atom
Size of the total moment = 1.31 μB/cell

=====

Entry 11:
Computed, not measured: crystalline AcP2Rh2 at its relaxed geometry at the PBE level of DFT.

```
AcP2Rh2
1.0
4.187 0.000 -0.902
-0.194 4.183 -0.902
0.019 0.020 10.263
Ac P Rh
2 4 4
Direct
0.625 0.625 0.251 Ac
0.375 0.375 0.749 Ac
0.750 0.250 0.500 P
0.929 0.929 0.858 P
0.071 0.071 0.142 P
0.250 0.750 0.500 P
0.000 0.500 0.000 Rh
0.197 0.197 0.393 Rh
0.500 0.000 0.000 Rh
0.803 0.803 0.607 Rh
```

Theoretical density = 9133 kg/m³
E_tot = -6.9813 eV/atom
E above lowest polymorph = 0.000 eV/atom
Size of the total moment = 0.00 μB/cell
Calculated formation energy = -1055 meV per atom

=====

Entry 12:
Computed, not measured: crystalline PmAlCo at its relaxed geometry at the PBE level of DFT.

```
PmAlCo
1.0
-2.847 0.712 -1.144
0.711 -1.476 -2.690
-0.969 -4.405 4.006
Co Al Pm
1 1 1
Direct
0.693 0.693 0.385 Co
0.293 0.293 0.586 Al
0.014 0.014 0.029 Pm
```

Theoretical density = 6895 kg/m³
E_tot = -5.4022 eV/atom
E above lowest polymorph = 0.179 eV/atom
Size of the total moment = 0.55 μB/cell
Calculated formation energy = -203 meV per atom

=====

Entry 13:
Computed, not measured: crystalline Y2Zn2Ag at its relaxed geometry at the PBE level of DFT.

```
Y2Zn2Ag
1.0
-2.459 -2.739 4.288
4.971 -0.274 2.675
0.530 1.786 5.169
Y Zn Ag
2 2 1
Direct
0.750 0.250 0.500 Y
0.250 0.750 0.500 Y
0.348 0.348 0.304 Zn
0.652 0.652 0.696 Zn
0.000 0.000 0.000 Ag
```

Theoretical density = 5742 kg/m³
E_tot = -3.7099 eV/atom
E above lowest polymorph = 0.271 eV/atom
Size of the total moment = 0.00 μB/cell
Calculated formation energy = -44 meV per atom

=====

Entry 14:
Computed, not measured: crystalline Ba3AlC at its relaxed geometry at the PBE level of DFT.

```
Ba3AlC
1.0
5.729 0.000 0.000
0.000 5.729 0.000
0.000 0.000 5.729
C Ba Al
1 3 1
Direct
0.000 0.000 0.000 C
0.000 0.500 0.000 Ba
0.000 0.000 0.500 Ba
0.500 0.000 0.000 Ba
0.500 0.500 0.500 Al
```

Theoretical density = 3982 kg/m³
E_tot = -3.2920 eV/atom
E above lowest polymorph = 0.000 eV/atom
Size of the total moment = 2.88 μB/cell
Calculated formation energy = 455 meV per atom

=====

Entry 15:
Computed, not measured: crystalline CsP2Pb2 at its relaxed geometry at the PBE level of DFT.

```
CsP2Pb2
1.0
4.887 0.000 0.000
0.000 4.887 0.000
2.443 2.443 6.337
Pb Cs P
2 1 2
Direct
0.750 0.250 0.500 Pb
0.250 0.750 0.500 Pb
0.000 0.000 0.000 Cs
0.417 0.417 0.167 P
0.583 0.583 0.833 P
```

Theoretical density = 6686 kg/m³
E_tot = -3.8549 eV/atom
E above lowest polymorph = 0.000 eV/atom
Size of the total moment = 0.00 μB/cell
Calculated formation energy = -37 meV per atom

=====

Entry 16:
Computed, not measured: crystalline RbMo2Br8 at its relaxed geometry at the PBE level of DFT.

```
RbMo2Br8
1.0
5.164 -0.510 -0.614
0.043 7.313 -5.614
-1.419 -0.367 10.447
Rb Mo Br
1 2 8
Direct
0.000 0.000 0.000 Rb
0.387 0.450 0.773 Mo
0.613 0.550 0.227 Mo
0.090 0.497 0.181 Br
0.910 0.503 0.819 Br
0.560 0.744 0.120 Br
0.237 0.154 0.473 Br
0.364 0.687 0.725 Br
0.440 0.256 0.880 Br
0.763 0.846 0.527 Br
0.636 0.313 0.275 Br
```

Theoretical density = 4073 kg/m³
E_tot = -3.9260 eV/atom
Size of the total moment = 5.00 μB/cell

=====

Entry 17:
Computed, not measured: crystalline Y13Tm3O24 at its relaxed geometry at the PBE level of DFT.

```
Y13Tm3O24
1.0
-6.112 -5.999 -3.427
3.282 -3.202 8.012
-4.129 8.138 1.397
Y Tm O
13 3 24
Direct
0.032 0.281 0.250 Y
0.999 0.500 0.000 Y
0.283 0.248 0.032 Y
0.217 0.751 0.468 Y
0.750 0.534 0.282 Y
0.749 0.032 0.783 Y
0.500 0.500 0.501 Y
0.466 0.216 0.750 Y
0.534 0.784 0.249 Y
0.251 0.467 0.718 Y
0.250 0.967 0.217 Y
0.783 0.249 0.532 Y
0.967 0.718 0.750 Y
0.000 0.000 0.499 Tm
0.501 0.000 0.000 Tm
0.717 0.752 0.967 Tm
0.957 0.489 0.229 O
0.543 0.268 0.032 O
0.271 0.542 0.511 O
0.965 0.740 0.011 O
0.775 0.765 0.228 O
0.467 0.957 0.732 O
0.237 0.011 0.468 O
0.261 0.229 0.272 O
0.009 0.776 0.542 O
0.489 0.532 0.260 O
0.768 0.029 0.043 O
0.728 0.270 0.759 O
0.271 0.729 0.240 O
0.232 0.967 0.957 O
0.515 0.472 0.745 O
0.990 0.225 0.458 O
0.764 0.988 0.532 O
0.738 0.771 0.731 O
0.225 0.235 0.768 O
0.533 0.043 0.268 O
0.729 0.458 0.489 O
0.031 0.260 0.989 O
0.460 0.733 0.967 O
0.043 0.512 0.772 O
```

Theoretical density = 5612 kg/m³
E_tot = -8.9851 eV/atom
Size of the total moment = 0.00 μB/cell

=====

Entry 18:
Computed, not measured: crystalline CrCd2Ag at its relaxed geometry at the PBE level of DFT.

```
CrCd2Ag
1.0
3.180 0.000 0.000
0.000 3.840 0.000
0.000 0.000 6.248
Ag Cd Cr
1 2 1
Direct
0.500 0.500 0.750 Ag
0.000 0.000 0.004 Cd
0.000 0.000 0.496 Cd
0.500 0.500 0.250 Cr
```

Theoretical density = 8373 kg/m³
E_tot = -3.3571 eV/atom
Size of the total moment = 4.01 μB/cell
Calculated formation energy = 219 meV per atom

=====

Entry 19:
Computed, not measured: crystalline Ho4NiB14 at its relaxed geometry at the PBE level of DFT.

```
Ho4NiB14
1.0
-0.691 7.075 1.208
-3.327 -1.391 6.244
6.592 0.043 3.522
Ho Ni B
8 2 28
Direct
0.194 0.332 0.000 Ho
0.668 0.194 0.000 Ho
0.332 0.806 0.000 Ho
0.694 0.168 0.500 Ho
0.306 0.832 0.500 Ho
0.806 0.668 0.000 Ho
0.832 0.694 0.500 Ho
0.168 0.306 0.500 Ho
0.000 0.000 0.000 Ni
0.500 0.500 0.500 Ni
0.175 0.039 0.232 B
0.961 0.175 0.232 B
0.039 0.825 0.232 B
0.675 0.461 0.268 B
0.325 0.539 0.268 B
0.825 0.961 0.232 B
0.539 0.675 0.268 B
0.461 0.325 0.268 B
0.825 0.961 0.768 B
0.039 0.825 0.768 B
0.961 0.175 0.768 B
0.325 0.539 0.732 B
0.675 0.461 0.732 B
0.175 0.039 0.768 B
0.461 0.325 0.732 B
0.539 0.675 0.732 B
0.089 0.589 0.250 B
0.411 0.089 0.250 B
0.589 0.911 0.250 B
0.911 0.411 0.250 B
0.911 0.411 0.750 B
0.589 0.911 0.750 B
0.411 0.089 0.750 B
0.089 0.589 0.750 B
0.000 0.000 0.389 B
0.500 0.500 0.111 B
0.000 0.000 0.611 B
0.500 0.500 0.889 B
```

Theoretical density = 7434 kg/m³
E_tot = -6.8092 eV/atom
Size of the total moment = 0.00 μB/cell
Calculated formation energy = -621 meV per atom

=====

Entry 20:
Computed, not measured: crystalline LaInTc2 at its relaxed geometry at the PBE level of DFT.

```
LaInTc2
1.0
3.098 -0.003 0.000
-1.342 2.792 0.000
0.000 0.000 8.878
In La Tc
1 1 2
Direct
0.500 0.500 0.250 In
0.500 0.500 0.750 La
0.000 0.000 0.000 Tc
0.000 0.000 0.500 Tc
```

Theoretical density = 9727 kg/m³
E_tot = -6.6162 eV/atom
Size of the total moment = 0.00 μB/cell
Calculated formation energy = 483 meV per atom